(1)
Below is an optimized crystal structure of Y4Mg3, with properties calculated at the GGA-PBE level.

Its relative energy among the computed polymorphs is 47 meV per atom. For the raw total energy, the calculation gives -4.377 eV per atom. The value obtained for the formation energy is -0.0001 eV/atom.

The structure belongs to space group P6/mmm (No. 191); the cell edges are 6.0099, 6.0099 and 6.4391 Å and the angles 90.00°, 90.00° and 120.00°. Symmetry generates all atoms from Y at (0.0000, 0.0000, 0.2452), Y at (0.3333, 0.6667, 0.0000) and Mg at (0.0000, 0.5000, 0.5000).

---

(2)
Below is an optimized crystal structure of Y3Mg5, with properties calculated at the GGA-PBE level.

Its relative energy among the computed polymorphs is 154 meV per atom. For the raw total energy, the calculation gives -3.354 eV per atom. The value obtained for the formation energy is 0.0668 eV/atom.

The structure belongs to space group C2 (No. 5); the cell edges are 5.8636, 17.2109 and 9.0829 Å and the angles 90.00°, 108.78° and 90.00°. Symmetry generates all atoms from Y at (0.0000, 0.0000, 0.0000), Y at (0.0000, 0.0736, 0.5000), Y at (0.0000, 0.4257, 0.5000), Y at (0.0000, 0.4999, 0.0000), Y at (0.1754, 0.7496, 0.8519), Mg at (0.0941, 0.5854, 0.6880), Mg at (0.0942, 0.9139, 0.6882), Mg at (0.1637, 0.1560, 0.8279), Mg at (0.1641, 0.3438, 0.8287) and Mg at (0.2497, 0.2498, 0.5001).

---

(3)
Below is an optimized crystal structure of YMgZn4, with properties calculated at the GGA-PBE level.

For the raw total energy, the calculation gives -2.490 eV per atom. The value obtained for the formation energy is -0.2972 eV/atom.

The structure belongs to space group P6/mmm (No. 191); the cell edges are 4.3489, 4.3489 and 6.8658 Å and the angles 90.00°, 90.00° and 120.00°. Symmetry generates all atoms from Y at (0.0000, 0.0000, 0.0000), Mg at (0.0000, 0.0000, 0.5000) and Zn at (0.3333, 0.6667, 0.2771).

---

(4)
Below is an optimized crystal structure of Y4MgZn2, with properties calculated at the GGA-PBE level.

For the raw total energy, the calculation gives -4.421 eV per atom. The value obtained for the formation energy is -0.1354 eV/atom.

The structure belongs to space group R-3m (No. 166, hexagonal axes); the cell edges are 5.0990, 5.0990 and 24.2629 Å and the angles 90.00°, 90.00° and 120.00°. Symmetry generates all atoms from Y at (0.0000, 0.0000, 0.1125), Y at (0.0000, 0.0000, 0.3669), Mg at (0.0000, 0.0000, 0.5000) and Zn at (0.0000, 0.0000, 0.2411).

---

(5)
Below is an optimized crystal structure of YMgZn, with properties calculated at the GGA-PBE level.

Its relative energy among the computed polymorphs is 279 meV per atom. For the raw total energy, the calculation gives -3.129 eV per atom. The value obtained for the formation energy is -0.0181 eV/atom.

The structure belongs to space group P3m1 (No. 156); the cell edges are 3.5302, 3.5302 and 6.9480 Å and the angles 90.00°, 90.00° and 120.00°. Symmetry generates all atoms from Y at (0.0000, 0.0000, 0.0000), Mg at (0.6667, 0.3333, 0.6082) and Zn at (0.3333, 0.6667, 0.3198).

---

(6)
Below is an optimized crystal structure of YMg2Zn2, with properties calculated at the GGA-PBE level.

Its relative energy among the computed polymorphs is 176 meV per atom. For the raw total energy, the calculation gives -2.479 eV per atom. The value obtained for the formation energy is -0.0391 eV/atom.

The structure belongs to space group I4/mmm (No. 139); the cell edges are 4.6058, 4.6058 and 10.2965 Å and the angles 90.00°, 90.00° and 90.00°. Symmetry generates all atoms from Y at (0.0000, 0.0000, 0.0000), Mg at (0.0000, 0.0000, 0.3682) and Zn at (0.0000, 0.5000, 0.2500).

---

(7)
Below is an optimized crystal structure of YMg4Zn2, with properties calculated at the GGA-PBE level.

Its relative energy among the computed polymorphs is 0 meV per atom. For the raw total energy, the calculation gives -2.353 eV per atom. The value obtained for the formation energy is -0.1544 eV/atom.

The structure belongs to space group Cmmm (No. 65); the cell edges are 4.2881, 16.7256 and 4.2400 Å and the angles 90.00°, 90.00° and 90.00°. Symmetry generates all atoms from Y at (0.0000, 0.0000, 0.0000), Mg at (0.0000, 0.1764, 0.5000), Mg at (0.0000, 0.3218, 0.0000) and Zn at (0.0000, 0.4276, 0.5000).

---

(8)
Below is an optimized crystal structure of YMgZn, with properties calculated at the GGA-PBE level.

Its relative energy among the computed polymorphs is 104 meV per atom. For the raw total energy, the calculation gives -3.304 eV per atom. The value obtained for the formation energy is -0.1932 eV/atom.

The structure belongs to space group P-6m2 (No. 187); the cell edges are 4.8065, 4.8065 and 3.4661 Å and the angles 90.00°, 90.00° and 120.00°. Symmetry generates all atoms from Y at (0.0000, 0.0000, 0.0000), Mg at (0.3333, 0.6667, 0.5000) and Zn at (0.6667, 0.3333, 0.5000).